The following is a GGA-PBE calculation of LiMgIr2 after structural relaxation, from Alexandria via LeMat-Bulk.

## Properties
total energy: -21.5 eV/cell
SG: P4mm, No. 99

Unit cell a=2.9458 b=2.9458 c=6.6060 alpha=90.00 beta=90.00 gamma=90.00
Positions (direct):
Li 0.0000 0.0000 0.0000
Mg 0.5000 0.5000 0.2611
Ir 0.0000 0.0000 0.5246
Ir 0.5000 0.5000 0.7845

The following is a GGA-PBE calculation of Sr3As2Br after structural relaxation, from Alexandria via LeMat-Bulk.

## Properties
total energy: -24.0 eV/cell
SG: Immm, No. 71

Unit cell a=7.9876 b=7.9876 c=7.9876 alpha=148.06 beta=133.11 gamma=57.86
Positions (direct):
Sr 0.0000 0.0000 0.0000
Sr 0.3207 0.3207 0.0000
Sr 0.6793 0.6793 0.0000
As 0.1604 0.6604 0.5000
As 0.8396 0.3396 0.5000
Br 0.5000 0.0000 0.5000

The following is a GGA-PBE calculation of Pd9PtAu2 after structural relaxation, from Alexandria via LeMat-Bulk.

## Properties
total energy: -59.7 eV/cell
SG: P4/mmm, No. 123

Unit cell a=3.9884 b=3.9884 c=11.9336 alpha=90.00 beta=90.00 gamma=90.00
Positions (direct):
Pd 0.0000 0.0000 0.0000
Pd 0.0000 0.0000 0.3321
Pd 0.0000 0.0000 0.6679
Pd 0.0000 0.5000 0.1629
Pd 0.0000 0.5000 0.5000
Pd 0.0000 0.5000 0.8371
Pd 0.5000 0.0000 0.1629
Pd 0.5000 0.0000 0.5000
Pd 0.5000 0.0000 0.8371
Pt 0.5000 0.5000 0.0000
Au 0.5000 0.5000 0.3313
Au 0.5000 0.5000 0.6687

- Which formula does entry 1 have?
  LiMgIr2

- The lowest total energy belongs to which entry?
  Pd9PtAu2

- The lowest total energy belongs to which entry?
  Pd9PtAu2

- Which value of total energy does entry 1 give?
  -21.5 eV/cell